Entry w
## YNi2Br (PBE-GGA)

Data for a relaxed structure of YNi2Br.

Cell and atoms, written as POSCAR:
```
YNi2Br
1.0
-1.4741 3.7340 2.8119
-2.6710 -2.7388 3.0639
4.7702 0.0365 -1.1253
Br Ni Y
1 2 1
Cartesian
0.2183 -1.1515 2.1478 Br
-4.0216 0.9656 5.7008 Ni
0.3796 2.1898 2.6414 Ni
-2.1687 0.5207 3.0742 Y
```

## Properties
**Spin magnetization**: 0.0 μB/cell

Entry x
## YNi2Br (PBE-GGA)

Data for a relaxed structure of YNi2Br.

Cell and atoms, written as POSCAR:
```
YNi2Br
1.0
-1.5797 3.1058 1.9175
-3.0650 -1.7471 0.3047
1.6218 -2.0593 4.6717
Br Ni Y
1 2 1
Cartesian
-1.8723 -1.3019 4.6911 Br
-2.2520 -1.3756 0.3729 Ni
-1.5346 -2.2746 2.4201 Ni
-1.1507 0.6013 2.2028 Y
```

## Properties
**Spin magnetization**: 0.0 μB/cell

Most stable: entry x. Least stable: entry w.